1.
# Ni3Br, optimized geometry, DFT PBE
data_Ni3Br
_chemical_formula_sum 'Ni12 Br4'
_symmetry_space_group_name_H-M 'P n m a'
_symmetry_Int_Tables_number 62
_symmetry_space_group_name_Hall '-P 2ac 2n'
_cell_length_a 4.610
_cell_length_b 8.422
_cell_length_c 5.678
_cell_angle_alpha 90.00
_cell_angle_beta 90.00
_cell_angle_gamma 90.00
loop_
_atom_site_label
_atom_site_type_symbol
_atom_site_fract_x
_atom_site_fract_y
_atom_site_fract_z
Ni1 Ni 0.077 0.250 0.172
Ni2 Ni 0.233 0.501 0.876
Br1 Br 0.032 0.750 0.426
# Offset from the most stable computed form, eV per atom: 0.181
# D(E_F), states/eV/atom: 1.556
# Calculated volume, Å³ per cell: 220.4
# E_form (uncorrected), kJ/mol of atoms: 46.5
# Spin magnetization, μB per cell: 4.316
# Raw total energy, eV per atom: -4.27


2.
# Rb2AcScS4, optimized geometry, DFT PBE
data_Rb2AcScS4
_chemical_formula_sum 'Rb2 Ac1 Sc1 S4'
_symmetry_space_group_name_H-M 'P 1 2/m 1'
_symmetry_Int_Tables_number 10
_symmetry_space_group_name_Hall '-P 2y'
_cell_length_a 7.233
_cell_length_b 4.183
_cell_length_c 8.058
_cell_angle_alpha 90.00
_cell_angle_beta 107.30
_cell_angle_gamma 90.00
loop_
_atom_site_label
_atom_site_type_symbol
_atom_site_fract_x
_atom_site_fract_y
_atom_site_fract_z
Rb1 Rb 0.000 0.000 0.000
Rb2 Rb 0.500 0.500 0.000
Ac1 Ac 0.000 0.500 0.500
Sc1 Sc 0.500 0.000 0.500
S1 S 0.264 0.000 0.697
S2 S 0.295 0.500 0.313
# D(E_F), states/eV/atom: 0.000
# Calculated volume, Å³ per cell: 232.8
# E_form (uncorrected), kJ/mol of atoms: -167.5
# Spin magnetization, μB per cell: 0.000
# Raw total energy, eV per atom: -5.35


3.
# YOs2Br, optimized geometry, DFT PBE
data_YOs2Br
_chemical_formula_sum 'Y2 Os4 Br2'
_symmetry_space_group_name_H-M 'I m m 2'
_symmetry_Int_Tables_number 44
_symmetry_space_group_name_Hall 'I 2 -2'
_cell_length_a 3.833
_cell_length_b 5.048
_cell_length_c 9.431
_cell_angle_alpha 90.00
_cell_angle_beta 90.00
_cell_angle_gamma 90.00
loop_
_atom_site_label
_atom_site_type_symbol
_atom_site_fract_x
_atom_site_fract_y
_atom_site_fract_z
Y1 Y 0.000 0.000 0.000
Os1 Os 0.000 0.000 0.535
Os2 Os 0.000 0.500 0.175
Br1 Br 0.000 0.500 0.816
# Offset from the most stable computed form, eV per atom: 0.441
# D(E_F), states/eV/atom: 0.185
# Calculated volume, Å³ per cell: 182.5
# E_form (uncorrected), kJ/mol of atoms: 36.5
# Spin magnetization, μB per cell: 0.000
# Raw total energy, eV per atom: -7.27


4.
# AcNd4Os, optimized geometry, DFT PBE
data_AcNd4Os
_chemical_formula_sum 'Ac4 Nd16 Os4'
_symmetry_space_group_name_H-M 'C 1 2/c 1'
_symmetry_Int_Tables_number 15
_symmetry_space_group_name_Hall '-C 2yc'
_cell_length_a 17.228
_cell_length_b 6.819
_cell_length_c 7.623
_cell_angle_alpha 90.00
_cell_angle_beta 107.00
_cell_angle_gamma 90.00
loop_
_atom_site_label
_atom_site_type_symbol
_atom_site_fract_x
_atom_site_fract_y
_atom_site_fract_z
Ac1 Ac 0.000 0.064 0.250
Nd1 Nd 0.099 0.414 0.980
Nd2 Nd 0.198 0.095 0.640
Os1 Os 0.250 0.250 0.000
# D(E_F), states/eV/atom: 1.082
# Calculated volume, Å³ per cell: 856.4
# Spin magnetization, μB per cell: 0.000
# Raw total energy, eV per atom: -5.73


5.
# Li4DyIn15, optimized geometry, DFT PBE
data_Li4DyIn15
_chemical_formula_sum 'Li4 Dy1 In15'
_symmetry_space_group_name_H-M 'P 4/m m m'
_symmetry_Int_Tables_number 123
_symmetry_space_group_name_Hall '-P 4 2'
_cell_length_a 4.508
_cell_length_b 4.508
_cell_length_c 23.602
_cell_angle_alpha 90.00
_cell_angle_beta 90.00
_cell_angle_gamma 90.00
loop_
_atom_site_label
_atom_site_type_symbol
_atom_site_fract_x
_atom_site_fract_y
_atom_site_fract_z
Li1 Li 0.000 0.000 0.098
Li2 Li 0.000 0.000 0.302
Dy1 Dy 0.000 0.000 0.500
In1 In 0.000 0.500 0.000
In2 In 0.000 0.500 0.199
In3 In 0.000 0.500 0.396
In4 In 0.500 0.500 0.098
In5 In 0.500 0.500 0.299
In6 In 0.500 0.500 0.500
# D(E_F), states/eV/atom: 0.375
# Calculated volume, Å³ per cell: 479.7
# Spin magnetization, μB per cell: 0.000
# Raw total energy, eV per atom: -2.84


6.
# Ba2YMnS5, optimized geometry, DFT PBE
data_Ba2YMnS5
_chemical_formula_sum 'Ba8 Y4 Mn4 S20'
_symmetry_space_group_name_H-M 'C m c 21'
_symmetry_Int_Tables_number 36
_symmetry_space_group_name_Hall 'C 2c -2'
_cell_length_a 4.150
_cell_length_b 18.058
_cell_length_c 12.951
_cell_angle_alpha 90.00
_cell_angle_beta 90.00
_cell_angle_gamma 90.00
loop_
_atom_site_label
_atom_site_type_symbol
_atom_site_fract_x
_atom_site_fract_y
_atom_site_fract_z
Ba1 Ba 0.000 0.125 0.000
Ba2 Ba 0.000 0.126 0.644
Y1 Y 0.000 0.200 0.338
Mn1 Mn 0.000 0.441 0.735
S1 S 0.000 0.041 0.310
S2 S 0.000 0.304 0.976
S3 S 0.000 0.315 0.690
S4 S 0.000 0.345 0.323
S5 S 0.000 0.499 0.583
# D(E_F), states/eV/atom: 0.354
# Calculated volume, Å³ per cell: 970.4
# E_form (uncorrected), kJ/mol of atoms: -160.9
# Spin magnetization, μB per cell: 16.000
# Raw total energy, eV per atom: -6.12


7.
# KAlTl3, optimized geometry, DFT PBE
data_KAlTl3
_chemical_formula_sum 'K1 Al1 Tl3'
_symmetry_space_group_name_H-M 'P m -3 m'
_symmetry_Int_Tables_number 221
_symmetry_space_group_name_Hall '-P 4 2 3'
_cell_length_a 5.560
_cell_length_b 5.560
_cell_length_c 5.560
_cell_angle_alpha 90.00
_cell_angle_beta 90.00
_cell_angle_gamma 90.00
loop_
_atom_site_label
_atom_site_type_symbol
_atom_site_fract_x
_atom_site_fract_y
_atom_site_fract_z
K1 K 0.000 0.000 0.000
Al1 Al 0.500 0.500 0.500
Tl1 Tl 0.000 0.500 0.500
# Offset from the most stable computed form, eV per atom: 0.000
# D(E_F), states/eV/atom: 0.423
# Calculated volume, Å³ per cell: 171.8
# Spin magnetization, μB per cell: 0.000
# Raw total energy, eV per atom: -2.29


8.
# ReSn2Rh, optimized geometry, DFT PBE
data_ReSn2Rh
_chemical_formula_sum 'Re4 Sn8 Rh4'
_symmetry_space_group_name_H-M 'I -4 2 d'
_symmetry_Int_Tables_number 122
_symmetry_space_group_name_Hall 'I -4 2bw'
_cell_length_a 4.227
_cell_length_b 4.227
_cell_length_c 18.108
_cell_angle_alpha 90.00
_cell_angle_beta 90.00
_cell_angle_gamma 90.00
loop_
_atom_site_label
_atom_site_type_symbol
_atom_site_fract_x
_atom_site_fract_y
_atom_site_fract_z
Re1 Re 0.000 0.000 0.000
Sn1 Sn 0.246 0.250 0.625
Rh1 Rh 0.000 0.000 0.500
# Offset from the most stable computed form, eV per atom: 0.477
# D(E_F), states/eV/atom: 0.817
# Calculated volume, Å³ per cell: 323.6
# Spin magnetization, μB per cell: 4.723
# Raw total energy, eV per atom: -6.34


9.
# Nb2GaPt, optimized geometry, DFT PBE
data_Nb2GaPt
_chemical_formula_sum 'Nb2 Ga1 Pt1'
_symmetry_space_group_name_H-M 'P 1 2/m 1'
_symmetry_Int_Tables_number 10
_symmetry_space_group_name_Hall '-P 2y'
_cell_length_a 2.855
_cell_length_b 4.189
_cell_length_c 5.550
_cell_angle_alpha 90.00
_cell_angle_beta 90.41
_cell_angle_gamma 90.00
loop_
_atom_site_label
_atom_site_type_symbol
_atom_site_fract_x
_atom_site_fract_y
_atom_site_fract_z
Nb1 Nb 0.004 0.000 0.253
Ga1 Ga 0.500 0.500 0.500
Pt1 Pt 0.500 0.500 0.000
# D(E_F), states/eV/atom: 1.040
# Calculated volume, Å³ per cell: 66.4
# Spin magnetization, μB per cell: 0.000
# Raw total energy, eV per atom: -7.77


10.
# ReS3Br, optimized geometry, DFT PBE
data_ReS3Br
_chemical_formula_sum 'Re1 S3 Br1'
_symmetry_space_group_name_H-M 'P m -3 m'
_symmetry_Int_Tables_number 221
_symmetry_space_group_name_Hall '-P 4 2 3'
_cell_length_a 4.641
_cell_length_b 4.641
_cell_length_c 4.641
_cell_angle_alpha 90.00
_cell_angle_beta 90.00
_cell_angle_gamma 90.00
loop_
_atom_site_label
_atom_site_type_symbol
_atom_site_fract_x
_atom_site_fract_y
_atom_site_fract_z
Re1 Re 0.000 0.000 0.000
S1 S 0.000 0.000 0.500
Br1 Br 0.500 0.500 0.500
# Offset from the most stable computed form, eV per atom: 0.000
# D(E_F), states/eV/atom: 0.941
# Calculated volume, Å³ per cell: 100.0
# E_form (uncorrected), kJ/mol of atoms: 32.1
# Spin magnetization, μB per cell: 0.000
# Raw total energy, eV per atom: -4.97


11.
# CsAlFe3, optimized geometry, DFT PBE
data_CsAlFe3
_chemical_formula_sum 'Cs1 Al1 Fe3'
_symmetry_space_group_name_H-M 'P m -3 m'
_symmetry_Int_Tables_number 221
_symmetry_space_group_name_Hall '-P 4 2 3'
_cell_length_a 4.822
_cell_length_b 4.822
_cell_length_c 4.822
_cell_angle_alpha 90.00
_cell_angle_beta 90.00
_cell_angle_gamma 90.00
loop_
_atom_site_label
_atom_site_type_symbol
_atom_site_fract_x
_atom_site_fract_y
_atom_site_fract_z
Cs1 Cs 0.000 0.000 0.000
Al1 Al 0.500 0.500 0.500
Fe1 Fe 0.000 0.000 0.500
# Offset from the most stable computed form, eV per atom: 1.207
# D(E_F), states/eV/atom: 1.615
# Calculated volume, Å³ per cell: 112.1
# Spin magnetization, μB per cell: 7.295
# Raw total energy, eV per atom: -3.50


12.
# Tl2InW, optimized geometry, DFT PBE
data_Tl2InW
_chemical_formula_sum 'Tl2 In1 W1'
_symmetry_space_group_name_H-M 'P 4/m m m'
_symmetry_Int_Tables_number 123
_symmetry_space_group_name_Hall '-P 4 2'
_cell_length_a 3.800
_cell_length_b 3.800
_cell_length_c 6.169
_cell_angle_alpha 90.00
_cell_angle_beta 90.00
_cell_angle_gamma 90.00
loop_
_atom_site_label
_atom_site_type_symbol
_atom_site_fract_x
_atom_site_fract_y
_atom_site_fract_z
Tl1 Tl 0.000 0.000 0.236
In1 In 0.500 0.500 0.500
W1 W 0.500 0.500 0.000
# Offset from the most stable computed form, eV per atom: 0.272
# D(E_F), states/eV/atom: 0.579
# Calculated volume, Å³ per cell: 89.1
# Spin magnetization, μB per cell: 0.000
# Raw total energy, eV per atom: -4.22


13.
# Ce7SnBr12, optimized geometry, DFT PBE
data_Ce7SnBr12
_chemical_formula_sum 'Ce21 Sn3 Br36'
_symmetry_space_group_name_H-M 'R -3'
_symmetry_Int_Tables_number 148
_symmetry_space_group_name_Hall '-R 3'
_cell_length_a 15.7332
_cell_length_b 15.7332
_cell_length_c 9.8545
_cell_angle_alpha 90.00
_cell_angle_beta 90.00
_cell_angle_gamma 120.00
loop_
_atom_site_label
_atom_site_type_symbol
_atom_site_fract_x
_atom_site_fract_y
_atom_site_fract_z
Ce1 Ce 0.0000 0.0000 0.0000
Ce2 Ce 0.0484 0.8746 0.3127
Sn1 Sn 0.0000 0.0000 0.5000
Br1 Br 0.0356 0.4433 0.1635
Br2 Br 0.0522 0.8637 0.8489
# D(E_F), states/eV/atom: 2.456
# Calculated volume, Å³ per cell: 2112.5
# E_form (uncorrected), kJ/mol of atoms: -146.0
# Spin magnetization, μB per cell: 31.181
# Raw total energy, eV per atom: -4.79


14.
# BeV3Sn, optimized geometry, DFT PBE
data_BeV3Sn
_chemical_formula_sum 'Be1 V3 Sn1'
_symmetry_space_group_name_H-M 'P m -3 m'
_symmetry_Int_Tables_number 221
_symmetry_space_group_name_Hall '-P 4 2 3'
_cell_length_a 5.017
_cell_length_b 5.017
_cell_length_c 5.017
_cell_angle_alpha 90.00
_cell_angle_beta 90.00
_cell_angle_gamma 90.00
loop_
_atom_site_label
_atom_site_type_symbol
_atom_site_fract_x
_atom_site_fract_y
_atom_site_fract_z
Be1 Be 0.000 0.000 0.000
V1 V 0.000 0.500 0.500
Sn1 Sn 0.500 0.500 0.500
# Offset from the most stable computed form, eV per atom: 1.555
# D(E_F), states/eV/atom: 2.481
# Calculated volume, Å³ per cell: 126.3
# Spin magnetization, μB per cell: 8.874
# Raw total energy, eV per atom: -5.11


15.
# Ta8Co, optimized geometry, DFT PBE
data_Ta8Co
_chemical_formula_sum 'Ta16 Co2'
_symmetry_space_group_name_H-M 'I 4/m m m'
_symmetry_Int_Tables_number 139
_symmetry_space_group_name_Hall '-I 4 2'
_cell_length_a 9.682
_cell_length_b 9.682
_cell_length_c 3.338
_cell_angle_alpha 90.00
_cell_angle_beta 90.00
_cell_angle_gamma 90.00
loop_
_atom_site_label
_atom_site_type_symbol
_atom_site_fract_x
_atom_site_fract_y
_atom_site_fract_z
Ta1 Ta 0.000 0.331 0.000
Ta2 Ta 0.162 0.162 0.500
Co1 Co 0.000 0.000 0.000
# D(E_F), states/eV/atom: 1.087
# Calculated volume, Å³ per cell: 312.9
# Spin magnetization, μB per cell: 0.000
# Raw total energy, eV per atom: -11.35


16.
# Y3Ni, optimized geometry, DFT PBE
data_Y3Ni
_chemical_formula_sum 'Y6 Ni2'
_symmetry_space_group_name_H-M 'P 63/m m c'
_symmetry_Int_Tables_number 194
_symmetry_space_group_name_Hall '-P 6c 2c'
_cell_length_a 7.1839
_cell_length_b 7.1839
_cell_length_c 4.5824
_cell_angle_alpha 90.00
_cell_angle_beta 90.00
_cell_angle_gamma 120.00
loop_
_atom_site_label
_atom_site_type_symbol
_atom_site_fract_x
_atom_site_fract_y
_atom_site_fract_z
Y1 Y 0.1852 0.3703 0.2500
Ni1 Ni 0.3333 0.6667 0.7500
# D(E_F), states/eV/atom: 1.085
# Calculated volume, Å³ per cell: 204.8
# Spin magnetization, μB per cell: 0.000
# Raw total energy, eV per atom: -6.22


17.
# Rb2TiMnCl, optimized geometry, DFT PBE
data_Rb2TiMnCl
_chemical_formula_sum 'Rb2 Ti1 Mn1 Cl1'
_symmetry_space_group_name_H-M 'P 4/m m m'
_symmetry_Int_Tables_number 123
_symmetry_space_group_name_Hall '-P 4 2'
_cell_length_a 6.671
_cell_length_b 6.671
_cell_length_c 4.453
_cell_angle_alpha 90.00
_cell_angle_beta 90.00
_cell_angle_gamma 90.00
loop_
_atom_site_label
_atom_site_type_symbol
_atom_site_fract_x
_atom_site_fract_y
_atom_site_fract_z
Rb1 Rb 0.000 0.500 0.000
Ti1 Ti 0.000 0.000 0.500
Mn1 Mn 0.000 0.000 0.000
Cl1 Cl 0.500 0.500 0.500
# D(E_F), states/eV/atom: 0.916
# Calculated volume, Å³ per cell: 198.2
# E_form (uncorrected), kJ/mol of atoms: 36.9
# Spin magnetization, μB per cell: 0.058
# Raw total energy, eV per atom: -3.79


18.
# YTiAsPb2, optimized geometry, DFT PBE
data_YTiAsPb2
_chemical_formula_sum 'Y1 Ti1 As1 Pb2'
_symmetry_space_group_name_H-M 'P 4/m m m'
_symmetry_Int_Tables_number 123
_symmetry_space_group_name_Hall '-P 4 2'
_cell_length_a 5.340
_cell_length_b 5.340
_cell_length_c 5.246
_cell_angle_alpha 90.00
_cell_angle_beta 90.00
_cell_angle_gamma 90.00
loop_
_atom_site_label
_atom_site_type_symbol
_atom_site_fract_x
_atom_site_fract_y
_atom_site_fract_z
Y1 Y 0.000 0.000 0.000
Ti1 Ti 0.000 0.000 0.500
As1 As 0.500 0.500 0.000
Pb1 Pb 0.000 0.500 0.500
# D(E_F), states/eV/atom: 0.813
# Calculated volume, Å³ per cell: 149.6
# Spin magnetization, μB per cell: 0.000
# Raw total energy, eV per atom: -4.85


19.
# AcGaBPt6, optimized geometry, DFT PBE
data_AcGaBPt6
_chemical_formula_sum 'Ac4 Ga4 B4 Pt24'
_symmetry_space_group_name_H-M 'I m m a'
_symmetry_Int_Tables_number 74
_symmetry_space_group_name_Hall '-I 2b 2'
_cell_length_a 7.205
_cell_length_b 8.381
_cell_length_c 11.337
_cell_angle_alpha 90.00
_cell_angle_beta 90.00
_cell_angle_gamma 90.00
loop_
_atom_site_label
_atom_site_type_symbol
_atom_site_fract_x
_atom_site_fract_y
_atom_site_fract_z
Ac1 Ac 0.000 0.250 0.167
Ga1 Ga 0.250 0.250 0.750
B1 B 0.000 0.000 0.500
Pt1 Pt 0.000 0.250 0.441
Pt2 Pt 0.000 0.250 0.898
Pt3 Pt 0.222 0.016 0.621
# D(E_F), states/eV/atom: 0.286
# Calculated volume, Å³ per cell: 684.5
# Spin magnetization, μB per cell: 0.000
# Raw total energy, eV per atom: -6.07


20.
# Sn2SbAs, optimized geometry, DFT PBE
data_Sn2SbAs
_chemical_formula_sum 'Sn8 Sb4 As4'
_symmetry_space_group_name_H-M 'I -4 2 d'
_symmetry_Int_Tables_number 122
_symmetry_space_group_name_Hall 'I -4 2bw'
_cell_length_a 7.086
_cell_length_b 7.086
_cell_length_c 11.016
_cell_angle_alpha 90.00
_cell_angle_beta 90.00
_cell_angle_gamma 90.00
loop_
_atom_site_label
_atom_site_type_symbol
_atom_site_fract_x
_atom_site_fract_y
_atom_site_fract_z
Sn1 Sn 0.229 0.250 0.125
Sb1 Sb 0.000 0.000 0.500
As1 As 0.000 0.000 0.000
# Offset from the most stable computed form, eV per atom: 0.107
# D(E_F), states/eV/atom: 0.542
# Calculated volume, Å³ per cell: 553.1
# E_form (uncorrected), kJ/mol of atoms: 12.8
# Spin magnetization, μB per cell: 0.000
# Raw total energy, eV per atom: -4.06